# YRuSe2

YRuSe2 after structural relaxation (GGA-PBE, Alexandria).

Cell lengths 8.4334, 8.4334, 8.4334 Å; angles 27.98, 27.98, 27.98 degrees
Sites, in units of the cell vectors:
Y (0.0000, 0.0000, 0.0000)
Ru (0.5000, 0.5000, 0.5000)
Se (0.3993, 0.3993, 0.3993)
Se (0.6007, 0.6007, 0.6007)

## Properties
- D(E_F): 3.4 states/eV per cell
- Mass density: 4.956 g cm⁻³
- Uncorrected formation energy: -347 meV/atom